This record from the Alexandria database describes a geometry-optimized Sr3Ti2FeO9 structure. The functional is PBE with a Hubbard U.

Cell lengths 5.512, 5.512, 6.764 Å; angles 90.00, 90.00, 120.00 degrees
Each line ends with the local moment (μB).
Sites, in units of the cell vectors:
O  0.328  0.164  0.663  0.00
O  0.164  0.836  0.337  0.00
O  0.500  0.000  0.000  -0.01
O  0.672  0.836  0.337  0.00
O  0.164  0.328  0.337  0.00
O  0.500  0.500  0.000  -0.01
O  0.836  0.164  0.663  0.00
O  0.000  0.500  0.000  -0.01
O  0.836  0.672  0.663  0.00
Ti  0.667  0.333  0.830  -0.04
Ti  0.333  0.667  0.170  -0.04
Sr  0.667  0.333  0.337  0.00
Sr  0.000  0.000  0.000  0.00
Sr  0.333  0.667  0.663  0.00
Fe  0.000  0.000  0.500  2.04

Values from the calculation:
For the density of states at the Fermi level, the calculation gives 0.228 states/eV per atom. The space group is P-3m1. The value obtained for the energy is -110.380 eV per formula unit.